First-principles (PBE+U) data for a relaxed HoVO4 crystal, as listed in Alexandria.

Cell: 5.0719 5.0713 6.6693 Å, 112.34 112.34 90.01°
Closest atoms and distances in Å follow each position.
Fractional coordinates of all 12 atoms:
1 Ho 0.3750 0.1250 0.7500  8 O 2.35-2.39
2 Ho 0.6250 0.8750 0.2500  8 O 2.35-2.39
3 O 0.9426 0.7999 0.5877  1 V 1.76
4 O 0.7877 0.4427 0.0877  1 V 1.76
5 O 0.2999 0.1451 0.0877  1 V 1.76
6 O 0.6452 0.2877 0.5878  1 V 1.76
7 O 0.3548 0.7123 0.4122  1 V 1.76
8 O 0.7001 0.8549 0.9123  1 V 1.76
9 O 0.2123 0.5573 0.9123  1 V 1.76
10 O 0.0574 0.2001 0.4123  1 V 1.76
11 V 0.8751 0.6250 0.7501  4 O 1.76
12 V 0.1249 0.3750 0.2499  4 O 1.76

Output
energy = -0.29431 Ha/atom
ρ = 6.426 g/cm³
D(E_F) = 0.000 states/eV per atom